(1)
VASP calculation (PBE-GGA) on Sc4P6Rh7 after structural relaxation.

Summary:
The formation energy is -1092 meV/atom. For the total energy, the calculation gives -255.63 eV for the cell shown.

CIF file:
```
data_Sc4P6Rh7
_chemical_formula_sum 'Sc8 P12 Rh14'
_space_group_name_H-M_alt 'I m -3 m'
_space_group_IT_number 229
_space_group_name_Hall '-I 4 2 3'
_cell_length_a 7.973
_cell_length_b 7.973
_cell_length_c 7.973
_cell_angle_alpha 90.00
_cell_angle_beta 90.00
_cell_angle_gamma 90.00
loop_
_atom_site_label
_atom_site_fract_x
_atom_site_fract_y
_atom_site_fract_z
_atom_site_occupancy
Sc1 0.250 0.250 0.250 1
P1 0.000 0.000 0.318 1
Rh1 0.000 0.000 0.000 1
Rh2 0.000 0.250 0.500 1
```

=====

(2)
VASP calculation (PBE-GGA) on Sc3SiP2Rh9 after structural relaxation.

Summary:
The raw formation energy is -57.9 kJ/mol of atoms. For the total energy, the calculation gives -110.41 eV for the cell shown.

CIF file:
```
data_Sc3SiP2Rh9
_chemical_formula_sum 'Sc3 Si1 P2 Rh9'
_space_group_name_H-M_alt 'P -3 m 1'
_space_group_IT_number 164
_space_group_name_Hall '-P 3 2"'
_cell_length_a 6.0820
_cell_length_b 6.0820
_cell_length_c 8.3195
_cell_angle_alpha 90.00
_cell_angle_beta 90.00
_cell_angle_gamma 120.00
loop_
_atom_site_label
_atom_site_fract_x
_atom_site_fract_y
_atom_site_fract_z
_atom_site_occupancy
Sc1 0.0000 0.0000 0.0000 1
Sc2 0.3333 0.6667 0.7262 1
Si1 0.0000 0.0000 0.5000 1
P1 0.3333 0.6667 0.1762 1
Rh1 0.0000 0.5000 0.0000 1
Rh2 0.1466 0.2932 0.2820 1
```

=====

(3)
VASP calculation (PBE-GGA) on Sm2ScP3Rh4 after structural relaxation.

Summary:
The formation energy is -1113 meV/atom. For the total energy, the calculation gives -72.54 eV for the cell shown.

CIF file:
```
data_Sm2ScP3Rh4
_chemical_formula_sum 'Sm2 Sc1 P3 Rh4'
_space_group_name_H-M_alt 'P -4 m 2'
_space_group_IT_number 115
_cell_length_a 3.985
_cell_length_b 3.985
_cell_length_c 10.894
_cell_angle_alpha 90.00
_cell_angle_beta 90.00
_cell_angle_gamma 90.00
loop_
_space_group_symop_operation_xyz
'x,y,z'
'y,-x,-z'
'-x,-y,z'
'-y,x,-z'
'-x,y,z'
'-y,-x,-z'
'x,-y,z'
'y,x,-z'
loop_
_atom_site_label
_atom_site_fract_x
_atom_site_fract_y
_atom_site_fract_z
_atom_site_occupancy
Sm1 0.000 0.500 0.228 1
Sc1 0.000 0.000 0.500 1
P1 0.000 0.500 0.870 1
P2 0.500 0.500 0.500 1
Rh1 0.000 0.000 0.000 1
Rh2 0.000 0.500 0.654 1
Rh3 0.500 0.500 0.000 1
```